(1)
4
Lattice="4.558 0.000 0.000 0.000 4.558 0.000 0.000 0.000 3.785" Properties=species:S:1:pos:R:3 comment="Sc2MoPb | the Alexandria database | PBEsol | relaxed" e_tot_ev_per_atom=-7.31 m_tot_mub_per_fu=0.000 ef_ev_per_atom=-0.061 crystal_system=tetragonal pbc="T T T"
Sc 0.000 2.279 0.000
Sc 2.279 0.000 0.000
Mo 0.000 0.000 1.892
Pb 2.279 2.279 1.892

(2)
80
Lattice="-5.976 5.976 5.976 5.976 -5.976 5.976 5.976 5.976 -5.976" Properties=species:S:1:pos:R:3 comment="Ho3Al5O12 | the Alexandria database | PBEsol | relaxed" e_tot_ev_per_atom=-8.26 formation_energy_uncorrected_ev_per_fu=-66.83 m_tot_mub_per_fu=0.000 crystal_system=cubic pbc="T T T"
Ho 2.988 1.494 0.000
Ho 5.976 2.988 -1.494
Ho 1.494 0.000 2.988
Ho 7.470 0.000 2.988
Ho 0.000 2.988 1.494
Ho 2.988 -1.494 5.976
Ho 2.988 7.470 0.000
Ho 5.976 2.988 4.482
Ho -1.494 5.976 2.988
Ho 4.482 5.976 2.988
Ho 0.000 2.988 7.470
Ho 2.988 4.482 5.976
Al 0.000 0.000 0.000
Al 2.988 2.988 -2.988
Al 2.988 -2.988 2.988
Al 5.976 0.000 0.000
Al 8.964 1.494 0.000
Al 5.976 -2.988 4.482
Al 4.482 5.976 -2.988
Al 4.482 0.000 2.988
Al 2.988 4.482 0.000
Al 5.976 2.988 1.494
Al -2.988 2.988 2.988
Al 0.000 5.976 0.000
Al 0.000 0.000 5.976
Al 2.988 2.988 2.988
Al 0.000 2.988 4.482
Al 2.988 1.494 5.976
Al 1.494 5.976 2.988
Al 1.494 0.000 8.964
Al 0.000 8.964 1.494
Al -2.988 4.482 5.976
O 1.782 -0.357 0.624
O 7.182 3.612 -3.345
O 7.758 0.357 0.624
O 7.182 -2.364 3.345
O 5.619 -0.624 1.782
O 9.322 -1.206 2.364
O 0.624 1.782 -0.357
O 8.341 2.631 -1.206
O 3.612 3.345 -1.206
O 5.352 1.782 0.357
O -0.357 0.624 1.782
O 3.345 -1.206 3.612
O 5.619 5.352 -1.782
O 3.345 1.206 2.364
O 3.612 -3.345 7.182
O 5.352 -1.782 5.619
O 2.364 3.345 1.206
O 6.600 4.194 0.357
O 3.345 7.182 -2.364
O 5.619 0.624 4.194
O 1.782 5.619 -0.624
O 7.182 2.364 2.631
O 1.206 2.364 3.345
O 1.782 0.357 5.352
O 4.194 5.619 0.624
O 4.770 3.612 2.631
O -1.206 3.612 3.345
O 4.194 0.357 6.600
O 0.357 5.352 1.782
O 2.631 -1.206 8.341
O -0.624 1.782 5.619
O 3.612 2.631 4.770
O 0.624 7.758 0.357
O 2.364 9.322 -1.206
O 2.631 4.770 3.612
O 0.357 0.624 7.758
O 2.631 7.182 2.364
O 6.333 5.352 4.194
O 0.624 4.194 5.619
O 2.364 2.631 7.182
O -2.364 3.345 7.182
O 5.352 4.194 6.333
O -3.345 7.182 3.612
O 0.357 6.600 4.194
O -1.206 8.341 2.631
O -1.782 5.619 5.352
O -1.206 2.364 9.322
O 4.194 6.333 5.352

(3)
4
Lattice="4.514 0.000 0.000 0.000 4.514 0.000 0.000 0.000 3.154" Properties=species:S:1:pos:R:3 comment="Re2TeMo | the Alexandria database | PBEsol | relaxed" e_tot_ev_per_atom=-9.87 formation_energy_uncorrected_ev_per_fu=2.47 m_tot_mub_per_fu=0.000 crystal_system=tetragonal pbc="T T T"
Re 0.000 2.257 0.000
Re 2.257 0.000 0.000
Te 0.000 0.000 1.577
Mo 2.257 2.257 1.577

(4)
4
Lattice="3.353 0.000 0.000 0.000 3.428 0.000 -0.719 0.000 6.677" Properties=species:S:1:pos:R:3 comment="ZrTlPt2 | the Alexandria database | PBEsol | relaxed" e_tot_ev_per_atom=-7.02 m_tot_mub_per_fu=0.000 ef_ev_per_atom=-0.604 crystal_system=monoclinic pbc="T T T"
Zr 0.000 0.000 0.000
Tl -0.359 0.000 3.339
Pt 0.917 1.714 5.259
Pt 1.718 1.714 1.419

(5)
4
Lattice="3.243 0.000 0.000 0.000 3.523 0.000 0.000 0.000 7.677" Properties=species:S:1:pos:R:3 comment="LaSb2Os | the Alexandria database | PBEsol | relaxed" e_tot_ev_per_atom=-6.74 formation_energy_uncorrected_ev_per_fu=-0.27 m_tot_mub_per_fu=0.000 crystal_system=orthorhombic pbc="T T T"
La 0.000 0.000 0.000
Sb 1.622 1.762 2.299
Sb 1.622 1.762 5.378
Os 0.000 0.000 3.839

(6)
9
Lattice="6.989 0.000 0.000 -3.494 6.053 0.000 0.000 0.000 3.935" Properties=species:S:1:pos:R:3 comment="YAlCu | the Alexandria database | PBEsol | relaxed" e_tot_ev_per_atom=-5.55 m_tot_mub_per_fu=0.000 ef_ev_per_atom=-0.468 crystal_system=hexagonal pbc="T T T"
Y -2.044 3.540 0.000
Y 1.451 2.513 0.000
Y 4.088 0.000 0.000
Al -0.826 1.431 1.967
Al 1.652 0.000 1.967
Al 2.668 4.622 1.967
Cu 0.000 0.000 0.000
Cu 0.000 4.035 1.967
Cu 3.494 2.018 1.967

(7)
4
Lattice="2.930 0.000 0.000 0.000 3.577 0.000 -0.948 0.000 6.605" Properties=species:S:1:pos:R:3 comment="CaCr2Mo | the Alexandria database | PBEsol | relaxed" e_tot_ev_per_atom=-7.95 m_tot_mub_per_fu=0.001 ef_ev_per_atom=0.643 crystal_system=monoclinic pbc="T T T"
Ca 0.000 0.000 0.000
Cr 1.258 1.789 2.160
Cr 2.201 0.000 3.118
Mo 0.477 1.789 4.267

(8)
30
Lattice="10.496 0.000 0.000 5.151 9.156 0.000 5.133 3.005 8.694" Properties=species:S:1:pos:R:3 comment="Rb5Re3S7 | the Alexandria database | PBEsol | relaxed" e_tot_ev_per_atom=-5.96 formation_energy_uncorrected_ev_per_fu=-13.60 m_tot_mub_per_fu=0.000 crystal_system=triclinic pbc="T T T"
Rb 0.000 0.000 0.000
Rb 3.075 5.293 0.193
Rb 5.224 6.542 3.547
Rb 4.945 3.013 4.905
Rb 12.597 8.186 8.687
Rb 9.587 6.372 3.596
Rb 8.101 2.158 3.447
Rb 12.535 8.104 4.904
Rb 15.888 6.626 7.285
Rb 12.542 1.260 3.569
Re 5.255 1.941 0.409
Re 9.103 8.806 0.374
Re 9.094 4.178 6.914
Re 15.575 11.075 6.917
Re 11.738 4.217 6.962
Re 11.738 8.832 0.411
S 2.839 1.813 0.274
S 7.409 7.806 1.750
S 5.308 3.835 1.877
S 7.389 5.017 5.440
S 10.375 6.232 7.034
S 13.152 11.171 6.994
S 10.387 9.564 2.288
S 7.678 1.839 0.318
S 10.449 6.783 0.280
S 10.489 3.475 5.059
S 15.493 9.169 5.458
S 13.414 7.955 1.880
S 13.475 5.261 5.672
S 17.991 11.202 7.036

(9)
3
Lattice="3.627 0.000 0.000 -1.813 3.141 0.000 0.000 0.000 6.992" Properties=species:S:1:pos:R:3 comment="KAlCl | the Alexandria database | PBEsol | relaxed" e_tot_ev_per_atom=-2.83 formation_energy_uncorrected_ev_per_fu=-1.25 m_tot_mub_per_fu=0.000 crystal_system=trigonal pbc="T T T"
K 0.000 0.000 0.000
Al 0.000 2.094 4.182
Cl 1.813 1.047 2.131

(10)
3
Lattice="4.129 0.000 0.000 -2.064 3.576 0.000 0.000 0.000 3.985" Properties=species:S:1:pos:R:3 comment="LaFeCu | the Alexandria database | PBEsol | relaxed" e_tot_ev_per_atom=-6.03 m_tot_mub_per_fu=1.834 ef_ev_per_atom=0.180 crystal_system=hexagonal pbc="T T T"
La 0.000 0.000 0.000
Fe 0.000 2.384 1.992
Cu 2.064 1.192 1.992

(11)
4
Lattice="3.153 0.000 0.000 0.000 3.153 0.000 0.000 0.000 8.038" Properties=species:S:1:pos:R:3 comment="InW2Br | the Alexandria database | PBEsol | relaxed" e_tot_ev_per_atom=-7.64 formation_energy_uncorrected_ev_per_fu=1.91 m_tot_mub_per_fu=0.000 crystal_system=tetragonal pbc="T T T"
In 0.000 0.000 0.000
W 0.000 0.000 3.281
W 1.577 1.577 1.863
Br 1.577 1.577 5.182

(12)
4
Lattice="3.183 0.000 0.000 0.000 3.183 0.000 0.000 0.000 5.917" Properties=species:S:1:pos:R:3 comment="CuAs2Ir | the Alexandria database | PBEsol | relaxed" e_tot_ev_per_atom=-5.91 m_tot_mub_per_fu=0.000 ef_ev_per_atom=0.187 crystal_system=tetragonal pbc="T T T"
Cu 0.000 0.000 0.000
As 1.591 1.591 1.511
As 1.591 1.591 4.406
Ir 0.000 0.000 2.959

(13)
4
Lattice="0.000 3.145 3.145 3.145 0.000 3.145 3.145 3.145 0.000" Properties=species:S:1:pos:R:3 comment="Zr2FeNi | the Alexandria database | PBEsol | relaxed" e_tot_ev_per_atom=-8.60 m_tot_mub_per_fu=0.002 ef_ev_per_atom=-0.278 crystal_system=cubic pbc="T T T"
Zr 1.573 1.573 1.573
Zr 4.718 4.718 4.718
Fe 0.000 0.000 0.000
Ni 3.145 3.145 3.145

(14)
5
Lattice="4.055 0.000 0.000 0.000 4.055 0.000 0.000 0.000 4.055" Properties=species:S:1:pos:R:3 comment="Mo3PdO | the Alexandria database | PBEsol | relaxed" e_tot_ev_per_atom=-9.61 formation_energy_uncorrected_ev_per_fu=-1.55 m_tot_mub_per_fu=0.000 crystal_system=cubic pbc="T T T"
Mo 0.000 0.000 2.027
Mo 0.000 2.027 0.000
Mo 2.027 0.000 0.000
Pd 2.027 2.027 2.027
O 0.000 0.000 0.000

(15)
12
Lattice="8.957 0.000 0.000 0.000 5.499 0.000 0.000 0.000 9.918" Properties=species:S:1:pos:R:3 comment="KSrBi | the Alexandria database | PBEsol | relaxed" e_tot_ev_per_atom=-3.12 m_tot_mub_per_fu=0.000 ef_ev_per_atom=-0.703 crystal_system=orthorhombic pbc="T T T"
K 0.135 1.375 1.761
K 4.343 4.124 6.720
K 4.614 1.375 3.198
K 8.821 4.124 8.157
Sr 1.379 1.375 5.745
Sr 3.099 4.124 0.786
Sr 5.858 1.375 9.132
Sr 7.577 4.124 4.173
Bi 1.986 4.124 3.931
Bi 2.492 1.375 8.890
Bi 6.464 4.124 1.028
Bi 6.971 1.375 5.987

(16)
4
Lattice="3.434 0.000 0.000 0.000 3.434 0.000 0.000 0.000 7.508" Properties=species:S:1:pos:R:3 comment="BaYRh2 | the Alexandria database | PBEsol | relaxed" e_tot_ev_per_atom=-6.63 m_tot_mub_per_fu=0.000 ef_ev_per_atom=-0.319 crystal_system=tetragonal pbc="T T T"
Ba 0.000 0.000 0.000
Y 0.000 0.000 3.754
Rh 1.717 1.717 2.212
Rh 1.717 1.717 5.295

(17)
5
Lattice="5.179 0.000 0.000 0.000 5.179 0.000 0.000 0.000 5.370" Properties=species:S:1:pos:R:3 comment="AgSb2WI | the Alexandria database | PBEsol | relaxed" e_tot_ev_per_atom=-3.91 formation_energy_uncorrected_ev_per_fu=8.45 m_tot_mub_per_fu=3.238 crystal_system=tetragonal pbc="T T T"
Ag 0.000 0.000 0.000
Sb 0.000 2.589 0.000
Sb 2.589 0.000 0.000
W 2.589 2.589 2.685
I 0.000 0.000 2.685

(18)
5
Lattice="3.505 0.000 0.000 0.000 3.505 0.000 0.000 0.000 5.092" Properties=species:S:1:pos:R:3 comment="AsPH2Pt | the Alexandria database | PBEsol | relaxed" e_tot_ev_per_atom=-4.65 m_tot_mub_per_fu=0.649 crystal_system=tetragonal pbc="T T T"
As 0.000 0.000 0.000
P 1.752 1.752 0.000
H 0.000 1.752 2.546
H 1.752 0.000 2.546
Pt 0.000 0.000 2.546

(19)
4
Lattice="1.890 1.091 7.838 -1.890 1.091 7.838 0.000 -2.182 7.838" Properties=species:S:1:pos:R:3 comment="LaZnS2 | the Alexandria database | PBEsol | relaxed" e_tot_ev_per_atom=-4.45 formation_energy_uncorrected_ev_per_fu=-2.10 m_tot_mub_per_fu=0.001 crystal_system=trigonal pbc="T T T"
La 0.000 0.000 0.000
Zn 0.000 0.000 11.757
S 0.000 0.000 2.660
S 0.000 0.000 20.855

(20)
4
Lattice="1.448 0.836 8.756 -1.448 0.836 8.756 0.000 -1.672 8.756" Properties=species:S:1:pos:R:3 comment="Cu2SbW | the Alexandria database | PBEsol | relaxed" e_tot_ev_per_atom=-6.21 formation_energy_uncorrected_ev_per_fu=2.21 m_tot_mub_per_fu=0.000 crystal_system=trigonal pbc="T T T"
Cu 0.000 0.000 6.461
Cu 0.000 0.000 19.806
Sb 0.000 0.000 0.000
W 0.000 0.000 13.134

(21)
5
Lattice="3.803 0.000 0.000 0.000 3.803 0.000 0.000 0.000 2.981" Properties=species:S:1:pos:R:3 comment="BeCoB2N | the Alexandria database | PBEsol | relaxed" e_tot_ev_per_atom=-5.38 formation_energy_uncorrected_ev_per_fu=7.42 m_tot_mub_per_fu=1.547 crystal_system=tetragonal pbc="T T T"
Be 0.000 0.000 0.000
Co 1.902 1.902 1.490
B 0.000 1.902 0.000
B 1.902 0.000 0.000
N 0.000 0.000 1.490

(22)
4
Lattice="0.000 3.624 3.624 3.624 0.000 3.624 3.624 3.624 0.000" Properties=species:S:1:pos:R:3 comment="Tl2HgAu | the Alexandria database | PBEsol | relaxed" e_tot_ev_per_atom=-2.36 m_tot_mub_per_fu=0.000 ef_ev_per_atom=0.081 crystal_system=cubic pbc="T T T"
Tl 0.000 0.000 0.000
Tl 1.812 1.812 1.812
Hg 3.624 3.624 3.624
Au 5.436 5.436 5.436

(23)
4
Lattice="3.815 0.000 0.000 0.000 3.958 0.000 0.000 0.000 7.819" Properties=species:S:1:pos:R:3 comment="Ba2PAu | the Alexandria database | PBEsol | relaxed" e_tot_ev_per_atom=-4.26 m_tot_mub_per_fu=0.000 ef_ev_per_atom=-0.759 crystal_system=orthorhombic pbc="T T T"
Ba 0.000 0.000 1.760
Ba 0.000 0.000 6.059
P 1.908 1.979 0.000
Au 1.908 1.979 3.909

(24)
3
Lattice="-1.653 1.653 4.936 1.653 -1.653 4.936 1.653 1.653 -4.936" Properties=species:S:1:pos:R:3 comment="MgSiSe | the Alexandria database | PBEsol | relaxed" e_tot_ev_per_atom=-3.84 formation_energy_uncorrected_ev_per_fu=-0.20 m_tot_mub_per_fu=0.000 crystal_system=tetragonal pbc="T T T"
Mg 0.000 0.000 0.000
Si 0.000 0.000 3.171
Se 0.000 0.000 6.554